A relaxed structure of NaBeGe2, computed with PBE-GGA.

The space group is R-3m (No. 166, hexagonal axes) and the conventional cell measures 3.8155, 3.8155 and 18.6334 Å, with angles of 90.00, 90.00 and 120.00 degrees. The distinct sites, in fractional coordinates, are Na at (0.0000, 0.0000, 0.0000), Be at (0.0000, 0.0000, 0.5000) and Ge at (0.0000, 0.0000, 0.2160).

***

A relaxed structure of NaBe2Ge2, computed with PBE-GGA.

The value obtained for the polymorph energy (0 for the lowest one) is 253 meV/atom.

The space group is P4/mbm (No. 127) and the conventional cell measures 7.403, 7.403 and 2.775 Å, with angles of 90.00, 90.00 and 90.00 degrees. The distinct sites, in fractional coordinates, are Na at (0.000, 0.000, 0.000), Be at (0.123, 0.377, 0.000) and Ge at (0.162, 0.662, 0.500).

***

A relaxed structure of NaBe3Ge3, computed with PBE-GGA.

The space group is Pm-3n (No. 223) and the conventional cell measures 6.439, 6.439 and 6.439 Å, with angles of 90.00, 90.00 and 90.00 degrees. The distinct sites, in fractional coordinates, are Na at (0.000, 0.000, 0.000), Be at (0.000, 0.250, 0.500) and Ge at (0.000, 0.500, 0.250).

***

Number 1: energy -41.7 eV for the cell shown, size of the total moment 0.00 μB per atom. Number 2: energy -33.2 eV for the cell shown, size of the total moment 0.00 μB per atom. Number 3: energy -47.0 eV for the cell shown, size of the total moment 0.00 μB per atom.